# 1
A geometry-optimized Tb2PmTm structure. Source: the Alexandria database, functional PBE.

```
4
Lattice="3.585 0.000 0.000 1.793 3.105 0.000 1.793 1.035 11.539" Properties=species:S:1:pos:R:3 pbc="T T T"
Tb 1.793 1.035 8.713
Tb 1.793 1.035 2.831
Pm 3.585 2.070 5.760
Tm 3.585 2.070 0.005
```

Results
The calculation puts the formation energy at 1.58 kJ/mol of atoms. The value obtained for the electronic total energy is -18.42 eV per cell. The energy above the lowest structure with this stoichiometry comes out at 0.0 meV/atom. As for the crystal system: trigonal. As for the density of states at the Fermi level: 5.77 states/eV/cell.

# 2
A geometry-optimized Tb4PmTm3 structure. Source: the Alexandria database, functional PBE.

```
8
Lattice="-1.655 4.906 2.210 -1.560 0.859 -3.076 -10.183 -7.982 2.923" Properties=species:S:1:pos:R:3 pbc="T T T"
Tm -3.420 -1.717 1.249
Tm -9.978 -0.500 0.808
Tm -0.780 0.430 -1.538
Tb -9.480 -3.939 1.645
Tb -3.919 1.722 0.413
Tb -6.854 -2.623 0.689
Tb -6.544 0.406 1.369
Pm -0.828 2.453 1.105
```

Results
The calculation puts the formation energy at 21.68 kJ/mol of atoms. The value obtained for the electronic total energy is -34.89 eV per cell. The energy above the lowest structure with this stoichiometry comes out at 215.7 meV/atom. As for the crystal system: monoclinic. As for the density of states at the Fermi level: 12.92 states/eV/cell.

# 3
A geometry-optimized Tb2Pm12Tm structure. Source: the Alexandria database, functional PBE.

```
30
Lattice="-4.936 3.311 2.696 -3.529 -5.484 0.274 9.346 -4.861 23.082" Properties=species:S:1:pos:R:3 pbc="T T T"
Tb 0.062 0.340 7.597
Tb 0.766 -4.058 6.386
Tb 4.348 -1.889 18.181
Tb 5.052 -6.287 16.970
Pm -2.227 -2.129 6.438
Pm 3.838 -7.738 21.534
Pm 4.264 -3.051 22.349
Pm 7.341 -3.818 18.129
Pm 3.150 -1.638 7.780
Pm -0.487 -5.591 11.227
Pm -0.026 -1.800 15.314
Pm -1.082 -2.725 9.265
Pm 3.023 -2.552 13.921
Pm -0.977 -5.087 15.007
Pm 2.006 -1.043 4.953
Pm -2.374 -3.033 12.530
Pm 2.072 -5.839 13.614
Pm 6.261 -5.438 21.038
Pm 3.108 -4.904 19.614
Pm 1.841 -5.351 22.846
Pm 6.196 -3.222 15.302
Pm -1.147 -0.509 3.529
Pm -5.192 -2.769 4.691
Pm 2.090 -3.395 10.646
Pm 1.963 -4.309 16.787
Pm -4.086 0.415 4.914
Pm 0.203 -0.836 11.949
Pm -2.253 -3.693 3.306
Tm -1.764 -2.742 0.137
Tm -2.468 1.656 1.348
```

Results
The calculation puts the formation energy at 31.20 kJ/mol of atoms. The value obtained for the electronic total energy is -131.78 eV per cell. As for the crystal system: tetragonal. As for the density of states at the Fermi level: 38.87 states/eV/cell.

# 4
A geometry-optimized Tb2Pm5Tm3 structure. Source: the Alexandria database, functional PBE.

```
20
Lattice="3.914 -8.335 -3.694 7.980 -3.362 4.838 -10.360 1.797 3.893" Properties=species:S:1:pos:R:3 pbc="T T T"
Tm 3.740 -2.391 4.624
Tm -2.477 -2.755 4.458
Tm -1.190 -3.454 7.593
Tm 2.724 -6.445 -2.557
Tm -2.206 -7.508 0.412
Tm 4.011 -7.144 0.578
Pm 0.617 -8.111 2.762
Pm 2.941 -5.626 3.547
Pm -5.375 -2.220 2.184
Pm -3.241 -5.957 3.346
Pm 4.776 -3.942 1.691
Pm 0.910 -8.110 -0.722
Pm 6.909 -7.679 2.852
Pm 0.624 -1.789 5.758
Pm -1.407 -4.273 1.490
Pm 0.917 -1.788 2.274
Tb -0.189 -5.053 4.697
Tb 1.724 -4.846 0.339
Tb 6.073 -4.648 4.818
Tb -4.538 -5.251 0.219
```

Results
The calculation puts the formation energy at 18.20 kJ/mol of atoms. The value obtained for the electronic total energy is -89.08 eV per cell. As for the crystal system: monoclinic. As for the density of states at the Fermi level: 36.62 states/eV/cell.

# 5
A geometry-optimized Tb8Pm3Tm2 structure. Source: the Alexandria database, functional PBE.

```
13
Lattice="-2.583 -4.120 -1.335 6.812 -4.176 -0.283 6.299 -4.236 10.400" Properties=species:S:1:pos:R:3 pbc="T T T"
Tm 5.595 -8.017 4.392
Tm 4.932 -4.516 4.390
Tb 2.715 -6.738 6.013
Tb 6.623 -9.631 7.383
Tb 3.905 -2.901 1.399
Tb 5.963 -6.123 7.358
Tb 7.813 -5.795 2.769
Tb 8.851 -7.406 5.734
Tb 4.564 -6.409 1.425
Tb 1.677 -5.126 3.048
Pm 0.000 0.000 0.000
Pm 0.660 -3.506 0.023
Pm 9.868 -9.026 8.759
```

Results
The calculation puts the formation energy at 1.85 kJ/mol of atoms. The value obtained for the electronic total energy is -59.99 eV per cell. As for the crystal system: monoclinic. As for the density of states at the Fermi level: 17.89 states/eV/cell.

# 6
A geometry-optimized Tb3PmTm6 structure. Source: the Alexandria database, functional PBE.

```
10
Lattice="8.623 0.000 4.576 3.097 8.047 4.576 2.191 1.505 6.283" Properties=species:S:1:pos:R:3 pbc="T T T"
Tm 7.485 7.082 10.180
Tm 3.604 4.441 7.158
Tm 5.454 7.712 7.049
Tm 10.197 5.023 8.587
Tm 6.276 2.320 5.521
Tm 8.269 1.768 8.660
Pm 11.197 7.688 10.138
Tb 2.950 2.025 4.854
Tb 7.698 5.286 6.319
Tb 6.429 4.414 8.710
```

Results
The calculation puts the formation energy at 28.87 kJ/mol of atoms. The value obtained for the electronic total energy is -42.48 eV per cell. The energy above the lowest structure with this stoichiometry comes out at 151.3 meV/atom. As for the crystal system: trigonal. As for the density of states at the Fermi level: 19.93 states/eV/cell.

What did the fifth record say?
A geometry-optimized Tb8Pm3Tm2 structure. Source: the Alexandria database, functional PBE.

```
13
Lattice="-2.583 -4.120 -1.335 6.812 -4.176 -0.283 6.299 -4.236 10.400" Properties=species:S:1:pos:R:3 pbc="T T T"
Tm 5.595 -8.017 4.392
Tm 4.932 -4.516 4.390
Tb 2.715 -6.738 6.013
Tb 6.623 -9.631 7.383
Tb 3.905 -2.901 1.399
Tb 5.963 -6.123 7.358
Tb 7.813 -5.795 2.769
Tb 8.851 -7.406 5.734
Tb 4.564 -6.409 1.425
Tb 1.677 -5.126 3.048
Pm 0.000 0.000 0.000
Pm 0.660 -3.506 0.023
Pm 9.868 -9.026 8.759
```

Results
The calculation puts the formation energy at 1.85 kJ/mol of atoms. The value obtained for the electronic total energy is -59.99 eV per cell. As for the crystal system: monoclinic. As for the density of states at the Fermi level: 17.89 states/eV/cell.